1.
A relaxed structure of NaThTe2O8, computed with GGA-PBE.

## Properties
total energy	-149.7	eV for the cell shown
DOS at the Fermi energy	2.37	states/eV/f.u.
spin magnetization	1.71	Bohr magnetons per cell

Cell lengths 5.4361, 5.4361, 11.5294 Å; angles 90.00, 90.00, 90.00 degrees
Space group I-4 (No. 82)
Asymmetric unit:
Na  0.0000  0.0000  0.0000
Th  0.0000  0.5000  0.7500
Te  0.0000  0.0000  0.5000
Te  0.0000  0.5000  0.2500
O  0.1578  0.2545  0.5951
O  0.1691  0.7379  0.1656

2.
A relaxed structure of Na2ThTeO6, computed with GGA-PBE.

## Properties
total energy	-63.0	eV for the cell shown
spin magnetization	0.00	Bohr magnetons per cell

Cell lengths 5.9206, 5.9206, 4.4788 Å; angles 90.00, 90.00, 90.00 degrees
Space group P4mm (No. 99)
Asymmetric unit:
Na  0.0000  0.5000  0.0000
Th  0.0000  0.0000  0.6034
Te  0.5000  0.5000  0.5817
O  0.0000  0.0000  0.1129
O  0.2744  0.2744  0.6627
O  0.5000  0.5000  0.1671

3.
A relaxed structure of NaTiTe2O6, computed with GGA-PBE.

## Properties
total energy	-244.6	eV for the cell shown
DOS at the Fermi energy	1.80	states/eV/f.u.
spin magnetization	0.00	Bohr magnetons per cell

Cell lengths 13.9421, 8.5903, 6.1530 Å; angles 90.00, 114.77, 90.00 degrees
Space group C2/c (No. 15)
Asymmetric unit:
Na  0.0000  0.0715  0.2500
Ti  0.0000  0.3126  0.7500
Te  0.2390  0.1336  0.1891
O  0.0681  0.1795  0.9969
O  0.1068  0.4154  0.7015
O  0.2045  0.0583  0.5143

4.
A relaxed structure of NaTiTeO5, computed with GGA-PBE.

## Properties
total energy	-206.1	eV for the cell shown
DOS at the Fermi energy	0.59	states/eV/f.u.
spin magnetization	0.00	Bohr magnetons per cell

Cell lengths 7.4559, 8.4973, 7.9611 Å; angles 90.00, 117.89, 90.00 degrees
Space group C2/c (No. 15)
Asymmetric unit:
Na  0.0000  0.0757  0.2500
Ti  0.2500  0.2500  0.0000
Te  0.0000  0.4651  0.2500
O  0.0000  0.2657  0.7500
O  0.0776  0.3094  0.1245
O  0.2241  0.0258  0.0422

5.
A relaxed structure of NaTi2TeO8, computed with GGA-PBE.

## Properties
total energy	-166.6	eV for the cell shown
DOS at the Fermi energy	4.98	states/eV/f.u.
spin magnetization	1.79	Bohr magnetons per cell

Cell lengths 6.4766, 6.8549, 6.3617 Å; angles 90.00, 90.00, 90.00 degrees
Space group Cmmm (No. 65)
Asymmetric unit:
Na  0.0000  0.0000  0.0000
Ti  0.0000  0.5000  0.2251
Te  0.0000  0.0000  0.5000
O  0.0000  0.2876  0.5000
O  0.0000  0.3249  0.0000
O  0.2082  0.0000  0.2828

6.
A relaxed structure of Na2TiTeO6, computed with GGA-PBE.

## Properties
total energy	-61.8	eV for the cell shown
spin magnetization	0.00	Bohr magnetons per cell

Cell lengths 5.4901, 5.4901, 3.9635 Å; angles 90.00, 90.00, 90.00 degrees
Space group P4mm (No. 99)
Asymmetric unit:
Na  0.0000  0.5000  0.0000
Ti  0.0000  0.0000  0.4900
Te  0.5000  0.5000  0.5336
O  0.0000  0.0000  0.0498
O  0.2549  0.2549  0.5497
O  0.5000  0.5000  0.0387